## P
TaBeTlOs: relaxed, GGA-PBE.

Its total magnetic moment is 0.000 μB per atom.

It has space group F-43m (No. 216), with a = 6.3581 Å, b = 6.3581 Å, c = 6.3581 Å, α = 90.00°, β = 90.00° and γ = 90.00°. Symmetry generates all atoms from Ta at (0.0000, 0.0000, 0.0000), Be at (0.2500, 0.2500, 0.2500), Tl at (0.0000, 0.0000, 0.5000) and Os at (0.2500, 0.2500, 0.7500).

## Q
TaBeTlOs: relaxed, GGA-PBE.

Its total magnetic moment is 0.001 μB per atom.

It has space group F-43m (No. 216), with a = 6.3301 Å, b = 6.3301 Å, c = 6.3301 Å, α = 90.00°, β = 90.00° and γ = 90.00°. Symmetry generates all atoms from Ta at (0.0000, 0.0000, 0.0000), Be at (0.2500, 0.2500, 0.2500), Tl at (0.2500, 0.2500, 0.7500) and Os at (0.0000, 0.0000, 0.5000).

Verdict on stability: Q comes out at the bottom.

## P
BeZnTeOs: relaxed, GGA-PBE.

Its total magnetic moment is 0.001 μB per atom.

It has space group F-43m (No. 216), with a = 6.3128 Å, b = 6.3128 Å, c = 6.3128 Å, α = 90.00°, β = 90.00° and γ = 90.00°. Symmetry generates all atoms from Be at (0.0000, 0.0000, 0.0000), Zn at (0.0000, 0.0000, 0.5000), Te at (0.2500, 0.2500, 0.2500) and Os at (0.2500, 0.2500, 0.7500).

## Q
BeZnTeOs: relaxed, GGA-PBE.

Its total magnetic moment is 0.000 μB per atom.

It has space group F-43m (No. 216), with a = 6.2961 Å, b = 6.2961 Å, c = 6.2961 Å, α = 90.00°, β = 90.00° and γ = 90.00°. Symmetry generates all atoms from Be at (0.0000, 0.0000, 0.0000), Zn at (0.2500, 0.2500, 0.7500), Te at (0.0000, 0.0000, 0.5000) and Os at (0.2500, 0.2500, 0.2500).

Verdict on stability: P comes out at the bottom.

## P
BeOsW: relaxed, GGA-PBE.

Its total magnetic moment is 0.000 μB per atom.

It has space group F-43m (No. 216), with a = 5.7918 Å, b = 5.7918 Å, c = 5.7918 Å, α = 90.00°, β = 90.00° and γ = 90.00°. Symmetry generates all atoms from Be at (0.0000, 0.0000, 0.0000), Os at (0.0000, 0.0000, 0.5000) and W at (0.2500, 0.2500, 0.2500).

## Q
BeOsW: relaxed, GGA-PBE.

Its total magnetic moment is 0.000 μB per atom.

It has space group F-43m (No. 216), with a = 5.7779 Å, b = 5.7779 Å, c = 5.7779 Å, α = 90.00°, β = 90.00° and γ = 90.00°. Symmetry generates all atoms from Be at (0.0000, 0.0000, 0.0000), Os at (0.2500, 0.2500, 0.2500) and W at (0.0000, 0.0000, 0.5000).

Verdict on stability: P comes out at the bottom.

## P
YBeOs: relaxed, GGA-PBE.

Its total magnetic moment is 0.008 μB per atom.

It has space group F-43m (No. 216), with a = 6.3345 Å, b = 6.3345 Å, c = 6.3345 Å, α = 90.00°, β = 90.00° and γ = 90.00°. Symmetry generates all atoms from Y at (0.0000, 0.0000, 0.0000), Be at (0.2500, 0.2500, 0.7500) and Os at (0.2500, 0.2500, 0.2500).

## Q
YBeOs: relaxed, GGA-PBE.

Its total magnetic moment is 0.000 μB per atom.

It has space group F-43m (No. 216), with a = 6.1886 Å, b = 6.1886 Å, c = 6.1886 Å, α = 90.00°, β = 90.00° and γ = 90.00°. Symmetry generates all atoms from Y at (0.0000, 0.0000, 0.0000), Be at (0.0000, 0.0000, 0.5000) and Os at (0.2500, 0.2500, 0.7500).

Verdict on stability: P comes out at the bottom.

## P
Y2TaBeP6: relaxed, GGA-PBE.

Its total magnetic moment is 0.001 μB per atom.

It has space group R-3m (No. 166, hexagonal axes), with a = 5.8091 Å, b = 5.8091 Å, c = 37.2548 Å, α = 90.00°, β = 90.00° and γ = 120.00°. Symmetry generates all atoms from Y at (0.0000, 0.0000, 0.1325), Y at (0.0000, 0.0000, 0.3090), Ta at (0.0000, 0.0000, 0.4292), Be at (0.0000, 0.0000, 0.0000), Be at (0.0000, 0.0000, 0.5000), P at (0.0069, 0.5035, 0.2917) and P at (0.0623, 0.5312, 0.8684).

## Q
Y2TaBeP6: relaxed, GGA-PBE.

Its total magnetic moment is 0.013 μB per atom.

It has space group I4/m (No. 87), with a = 5.9524 Å, b = 5.9524 Å, c = 10.7044 Å, α = 90.00°, β = 90.00° and γ = 90.00°. Symmetry generates all atoms from Y at (0.0000, 0.5000, 0.2500), Ta at (0.0000, 0.0000, 0.0000), Be at (0.0000, 0.0000, 0.5000), P at (0.0000, 0.0000, 0.2453) and P at (0.1126, 0.6458, 0.5000).

Verdict on stability: P comes out at the bottom.

## P
PaBeSb: relaxed, GGA-PBE.

Its total magnetic moment is 0.023 μB per atom.

It has space group F-43m (No. 216), with a = 6.3351 Å, b = 6.3351 Å, c = 6.3351 Å, α = 90.00°, β = 90.00° and γ = 90.00°. Symmetry generates all atoms from Pa at (0.0000, 0.0000, 0.0000), Be at (0.2500, 0.2500, 0.2500) and Sb at (0.0000, 0.0000, 0.5000).

## Q
PaBeSb: relaxed, GGA-PBE.

Its total magnetic moment is 0.443 μB per atom.

It has space group F-43m (No. 216), with a = 6.8535 Å, b = 6.8535 Å, c = 6.8535 Å, α = 90.00°, β = 90.00° and γ = 90.00°. Symmetry generates all atoms from Pa at (0.0000, 0.0000, 0.0000), Be at (0.2500, 0.2500, 0.7500) and Sb at (0.2500, 0.2500, 0.2500).

Verdict on stability: Q comes out at the bottom.

## P
PaBeTl: relaxed, GGA-PBE.

Its total magnetic moment is 0.486 μB per atom.

It has space group F-43m (No. 216), with a = 6.7561 Å, b = 6.7561 Å, c = 6.7561 Å, α = 90.00°, β = 90.00° and γ = 90.00°. Symmetry generates all atoms from Pa at (0.0000, 0.0000, 0.0000), Be at (0.0000, 0.0000, 0.5000) and Tl at (0.2500, 0.2500, 0.7500).

## Q
PaBeTl: relaxed, GGA-PBE.

Its total magnetic moment is 0.028 μB per atom.

It has space group F-43m (No. 216), with a = 6.4355 Å, b = 6.4355 Å, c = 6.4355 Å, α = 90.00°, β = 90.00° and γ = 90.00°. Symmetry generates all atoms from Pa at (0.0000, 0.0000, 0.0000), Be at (0.2500, 0.2500, 0.2500) and Tl at (0.0000, 0.0000, 0.5000).

Verdict on stability: P comes out at the bottom.

## P
SrBePdPb: relaxed, GGA-PBE.

It has space group F-43m (No. 216), with a = 7.0010 Å, b = 7.0010 Å, c = 7.0010 Å, α = 90.00°, β = 90.00° and γ = 90.00°. Symmetry generates all atoms from Sr at (0.0000, 0.0000, 0.0000), Be at (0.2500, 0.2500, 0.2500), Pd at (0.0000, 0.0000, 0.5000) and Pb at (0.2500, 0.2500, 0.7500).

## Q
SrBePdPb: relaxed, GGA-PBE.

It has space group F-43m (No. 216), with a = 7.0332 Å, b = 7.0332 Å, c = 7.0332 Å, α = 90.00°, β = 90.00° and γ = 90.00°. Symmetry generates all atoms from Sr at (0.0000, 0.0000, 0.0000), Be at (0.2500, 0.2500, 0.2500), Pd at (0.2500, 0.2500, 0.7500) and Pb at (0.0000, 0.0000, 0.5000).

## R
SrBePdPb: relaxed, GGA-PBE.

It has space group F-43m (No. 216), with a = 7.0776 Å, b = 7.0776 Å, c = 7.0776 Å, α = 90.00°, β = 90.00° and γ = 90.00°. Symmetry generates all atoms from Sr at (0.0000, 0.0000, 0.0000), Be at (0.0000, 0.0000, 0.5000), Pd at (0.2500, 0.2500, 0.7500) and Pb at (0.2500, 0.2500, 0.2500).

Verdict on stability: R comes out at the bottom.

## P
PrBePb: relaxed, GGA-PBE.

Its total magnetic moment is 0.001 μB per atom.

It has space group F-43m (No. 216), with a = 7.1297 Å, b = 7.1297 Å, c = 7.1297 Å, α = 90.00°, β = 90.00° and γ = 90.00°. Symmetry generates all atoms from Pr at (0.0000, 0.0000, 0.0000), Be at (0.2500, 0.2500, 0.7500) and Pb at (0.2500, 0.2500, 0.2500).

## Q
PrBePb: relaxed, GGA-PBE.

Its total magnetic moment is 0.001 μB per atom.

It has space group F-43m (No. 216), with a = 6.6407 Å, b = 6.6407 Å, c = 6.6407 Å, α = 90.00°, β = 90.00° and γ = 90.00°. Symmetry generates all atoms from Pr at (0.0000, 0.0000, 0.0000), Be at (0.2500, 0.2500, 0.7500) and Pb at (0.0000, 0.0000, 0.5000).

Verdict on stability: P comes out at the bottom.

## P
TaBeTcPb: relaxed, GGA-PBE.

Its total magnetic moment is 0.001 μB per atom.

It has space group F-43m (No. 216), with a = 6.4020 Å, b = 6.4020 Å, c = 6.4020 Å, α = 90.00°, β = 90.00° and γ = 90.00°. Symmetry generates all atoms from Ta at (0.0000, 0.0000, 0.0000), Be at (0.2500, 0.2500, 0.2500), Tc at (0.2500, 0.2500, 0.7500) and Pb at (0.0000, 0.0000, 0.5000).

## Q
TaBeTcPb: relaxed, GGA-PBE.

Its total magnetic moment is 0.000 μB per atom.

It has space group F-43m (No. 216), with a = 6.4084 Å, b = 6.4084 Å, c = 6.4084 Å, α = 90.00°, β = 90.00° and γ = 90.00°. Symmetry generates all atoms from Ta at (0.0000, 0.0000, 0.0000), Be at (0.2500, 0.2500, 0.2500), Tc at (0.0000, 0.0000, 0.5000) and Pb at (0.2500, 0.2500, 0.7500).

## R
TaBeTcPb: relaxed, GGA-PBE.

Its total magnetic moment is 0.001 μB per atom.

It has space group F-43m (No. 216), with a = 6.4447 Å, b = 6.4447 Å, c = 6.4447 Å, α = 90.00°, β = 90.00° and γ = 90.00°. Symmetry generates all atoms from Ta at (0.0000, 0.0000, 0.0000), Be at (0.0000, 0.0000, 0.5000), Tc at (0.2500, 0.2500, 0.7500) and Pb at (0.2500, 0.2500, 0.2500).

Verdict on stability: Q comes out at the bottom.

## P
UBePb: relaxed, GGA-PBE.

Its total magnetic moment is 0.851 μB per atom.

It has space group F-43m (No. 216), with a = 6.9208 Å, b = 6.9208 Å, c = 6.9208 Å, α = 90.00°, β = 90.00° and γ = 90.00°. Symmetry generates all atoms from U at (0.0000, 0.0000, 0.0000), Be at (0.2500, 0.2500, 0.2500) and Pb at (0.2500, 0.2500, 0.7500).

## Q
UBePb: relaxed, GGA-PBE.

Its total magnetic moment is 1.120 μB per atom.

It has space group F-43m (No. 216), with a = 6.4839 Å, b = 6.4839 Å, c = 6.4839 Å, α = 90.00°, β = 90.00° and γ = 90.00°. Symmetry generates all atoms from U at (0.0000, 0.0000, 0.0000), Be at (0.2500, 0.2500, 0.7500) and Pb at (0.0000, 0.0000, 0.5000).

Verdict on stability: P comes out at the bottom.

## P
BePbW: relaxed, GGA-PBE.

Its total magnetic moment is 0.607 μB per atom.

It has space group F-43m (No. 216), with a = 6.3057 Å, b = 6.3057 Å, c = 6.3057 Å, α = 90.00°, β = 90.00° and γ = 90.00°. Symmetry generates all atoms from Be at (0.0000, 0.0000, 0.0000), Pb at (0.2500, 0.2500, 0.2500) and W at (0.0000, 0.0000, 0.5000).

## Q
BePbW: relaxed, GGA-PBE.

Its total magnetic moment is 0.620 μB per atom.

It has space group F-43m (No. 216), with a = 6.3175 Å, b = 6.3175 Å, c = 6.3175 Å, α = 90.00°, β = 90.00° and γ = 90.00°. Symmetry generates all atoms from Be at (0.0000, 0.0000, 0.0000), Pb at (0.0000, 0.0000, 0.5000) and W at (0.2500, 0.2500, 0.2500).

Verdict on stability: P comes out at the bottom.

## P
ZrBePb: relaxed, GGA-PBE.

Its total magnetic moment is 0.000 μB per atom.

It has space group F-43m (No. 216), with a = 6.5058 Å, b = 6.5058 Å, c = 6.5058 Å, α = 90.00°, β = 90.00° and γ = 90.00°. Symmetry generates all atoms from Zr at (0.0000, 0.0000, 0.0000), Be at (0.0000, 0.0000, 0.5000) and Pb at (0.2500, 0.2500, 0.7500).

## Q
ZrBePb: relaxed, GGA-PBE.

Its total magnetic moment is 0.002 μB per atom.

It has space group F-43m (No. 216), with a = 6.6051 Å, b = 6.6051 Å, c = 6.6051 Å, α = 90.00°, β = 90.00° and γ = 90.00°. Symmetry generates all atoms from Zr at (0.0000, 0.0000, 0.0000), Be at (0.2500, 0.2500, 0.7500) and Pb at (0.2500, 0.2500, 0.2500).

Verdict on stability: P comes out at the bottom.